1.
PrTlCuAg: relaxed, PBE-GGA.

Geometry as POSCAR:
```
PrTlCuAg
1.0
-3.2483 2.8566 -2.5174
-2.4815 -1.8876 -3.9152
-4.9119 -0.8960 0.3462
Pr Tl Cu Ag
1 1 1 1
Direct
0.0000 0.0000 0.0000
0.5000 0.5000 0.5000
0.2500 0.2500 0.2500
0.7500 0.7500 0.7500
```

Properties
Total DFT energy (no corrections)   -3.698 eV/atom
Fermi-level density of states   0.580 states/eV per atom
Space-group type   F-43m (216)
Formation energy from the elements   -0.70 eV/f.u.

---

2.
PrTmCuAg: relaxed, PBE-GGA.

Geometry as POSCAR:
```
PrTmCuAg
1.0
3.5525 0.0000 0.0000
0.0000 3.5525 0.0000
0.0000 0.0000 7.3993
Pr Tm Cu Ag
1 1 1 1
Direct
0.0000 0.0000 0.8436
0.0000 0.0000 0.3709
0.5000 0.5000 0.5780
0.5000 0.5000 0.1354
```

Properties
Total DFT energy (no corrections)   -4.301 eV/atom
Fermi-level density of states   0.496 states/eV per atom
Space-group type   P4mm (99)
Energy above the lowest structure with this stoichiometry   0 meV per atom
Formation energy from the elements   -1.01 eV/f.u.

---

3.
PrTmCuAg: relaxed, PBE-GGA.

Geometry as POSCAR:
```
PrTmCuAg
1.0
5.1211 0.0000 0.0000
2.5605 4.4350 0.0000
2.5605 1.4783 4.1814
Pr Tm Cu Ag
1 1 1 1
Direct
0.7500 0.7500 0.7500
0.2500 0.2500 0.2500
0.5000 0.5000 0.5000
0.0000 0.0000 0.0000
```

Properties
Total DFT energy (no corrections)   -4.255 eV/atom
Fermi-level density of states   1.051 states/eV per atom
Space-group type   F-43m (216)
Energy above the lowest structure with this stoichiometry   46 meV per atom
Formation energy from the elements   -0.82 eV/f.u.

---

4.
PrYCuAg: relaxed, PBE-GGA.

Geometry as POSCAR:
```
PrYCuAg
1.0
-1.8266 0.2184 -3.1009
-2.7485 -1.7937 1.4927
-2.9740 6.3892 2.2018
Pr Y Cu Ag
1 1 1 1
Direct
0.0000 0.0000 0.8438
0.0000 0.0000 0.3703
0.5000 0.5000 0.5868
0.5000 0.5000 0.1271
```

Properties
Total DFT energy (no corrections)   -4.782 eV/atom
Fermi-level density of states   0.615 states/eV per atom
Space-group type   P4mm (99)
Energy above the lowest structure with this stoichiometry   0 meV per atom
Formation energy from the elements   -0.94 eV/f.u.

---

5.
PrYCuAg: relaxed, PBE-GGA.

Geometry as POSCAR:
```
PrYCuAg
1.0
5.1616 0.0000 0.0000
2.5808 4.4701 0.0000
2.5808 1.4900 4.2145
Pr Y Cu Ag
1 1 1 1
Direct
0.2500 0.2500 0.2500
0.7500 0.7500 0.7500
0.0000 0.0000 0.0000
0.5000 0.5000 0.5000
```

Properties
Total DFT energy (no corrections)   -4.748 eV/atom
Fermi-level density of states   1.087 states/eV per atom
Space-group type   F-43m (216)
Energy above the lowest structure with this stoichiometry   34 meV per atom
Formation energy from the elements   -0.80 eV/f.u.

---

6.
Pr2Zn3Cu12Ag: relaxed, PBE-GGA.

Geometry as POSCAR:
```
Pr2Zn3Cu12Ag
1.0
-5.1254 8.0462 1.6211
-9.0484 3.4176 -0.2928
-6.9613 3.5365 5.7160
Pr Zn Cu Ag
2 3 12 1
Direct
0.6408 0.6408 0.6408
0.3592 0.3592 0.3592
0.5000 0.0000 0.0000
0.0000 0.5000 0.0000
0.0000 0.0000 0.5000
0.4165 0.4165 0.7952
0.8782 0.8782 0.4507
0.4507 0.8782 0.8782
0.7952 0.4165 0.4165
0.8782 0.4507 0.8782
0.4165 0.7952 0.4165
0.5835 0.5835 0.2048
0.1218 0.1218 0.5493
0.5493 0.1218 0.1218
0.2048 0.5835 0.5835
0.1218 0.5493 0.1218
0.5835 0.2048 0.5835
0.0000 0.0000 0.0000
```

Properties
Total DFT energy (no corrections)   -3.494 eV/atom
Fermi-level density of states   0.476 states/eV per atom
Space-group type   R-3m (166)
Formation energy from the elements   2.50 eV/f.u.